1.
Material: BP
Method: DFT, GGA-PBE
State: optimized geometry

## Properties
The calculation puts the formation energy at -0.03 eV per atom. For the total magnetic moment, the calculation gives 0.000 μB/f.u.

Lattice parameters (Å, degrees): 5.832 5.845 6.520 90.00 90.00 90.00
Sites, in units of the cell vectors:
1 P 0.845 0.593 0.718
2 P 0.655 0.407 0.218
3 P 0.811 0.890 0.028
4 P 0.155 0.093 0.782
5 P 0.189 0.390 0.472
6 P 0.345 0.907 0.282
7 P 0.689 0.110 0.528
8 P 0.311 0.610 0.972
9 B 0.862 0.938 0.729
10 B 0.843 0.403 0.468
11 B 0.343 0.097 0.532
12 B 0.138 0.438 0.771
13 B 0.638 0.062 0.229
14 B 0.157 0.903 0.032
15 B 0.362 0.562 0.271
16 B 0.657 0.597 0.968

2.
Material: Sc2MnCo
Method: DFT, GGA-PBE
State: optimized geometry

## Properties
The calculation puts the formation energy at 0.18 eV per atom. For the total magnetic moment, the calculation gives 3.501 μB/f.u. The value obtained for the density of states at the Fermi level is 1.37 states/eV/atom.

Lattice parameters (Å, degrees): 8.515 8.515 8.515 21.09 21.09 21.09
Each line ends with the local moment (μB).
Sites, in units of the cell vectors:
1 Sc 0.991 0.991 0.991  -0.19
2 Sc 0.509 0.509 0.509  -0.19
3 Mn 0.750 0.750 0.750  3.32
4 Co 0.250 0.250 0.250  0.58

3.
Material: CrAu2
Method: DFT, GGA-PBE
State: optimized geometry

## Properties
The calculation puts the formation energy at 0.26 eV per atom. For the total magnetic moment, the calculation gives 3.935 μB/f.u. The value obtained for the density of states at the Fermi level is 0.56 states/eV/atom.

Lattice parameters (Å, degrees): 5.287 5.287 5.287 113.53 113.53 101.64
Each line ends with the local moment (μB).
Sites, in units of the cell vectors:
1 Cr 0.250 0.250 0.000  3.48
2 Cr 0.750 0.750 0.000  3.48
3 Au 0.331 0.831 0.161  0.08
4 Au 0.831 0.669 0.500  0.08
5 Au 0.669 0.169 0.839  0.08
6 Au 0.169 0.331 0.500  0.08

4.
Material: Na2GdIn
Method: DFT, GGA-PBE
State: optimized geometry

## Properties
The calculation puts the formation energy at 0.16 eV per atom. For the total magnetic moment, the calculation gives 7.554 μB/f.u. The value obtained for the density of states at the Fermi level is 1.35 states/eV/atom.

Lattice parameters (Å, degrees): 3.398 3.398 12.660 82.29 82.29 60.00
Each line ends with the local moment (μB).
Sites, in units of the cell vectors:
1 Na 0.092 0.092 0.725  0.00
2 Na 0.908 0.908 0.275  0.00
3 Gd 0.000 0.000 0.000  7.24
4 In 0.500 0.500 0.500  0.01

5.
Material: TlSnGe3
Method: DFT, GGA-PBE
State: optimized geometry

## Properties
The calculation puts the formation energy at 0.73 eV per atom. For the total magnetic moment, the calculation gives 0.000 μB/f.u. The value obtained for the density of states at the Fermi level is 0.82 states/eV/atom.

Lattice parameters (Å, degrees): 5.375 5.375 5.375 90.00 90.00 90.00
Sites, in units of the cell vectors:
1 Ge 0.000 0.500 0.000
2 Ge 0.000 0.000 0.500
3 Ge 0.500 0.000 0.000
4 Tl 0.500 0.500 0.500
5 Sn 0.000 0.000 0.000

6.
Material: LaSbH
Method: DFT, GGA-PBE
State: optimized geometry

## Properties
For the total magnetic moment, the calculation gives 0.000 μB/f.u. Its total energy is -4.77 eV per atom. The value obtained for the density of states at the Fermi level is 0.52 states/eV/atom.

Lattice parameters (Å, degrees): 4.433 4.433 8.021 73.97 73.97 89.98
Sites, in units of the cell vectors:
1 Sb 0.904 0.344 0.108
2 Sb 0.404 0.844 0.108
3 La 0.566 0.506 0.785
4 La 0.243 0.183 0.432
5 H 0.654 0.094 0.609
6 H 0.154 0.595 0.609

7.
Material: LiSm6Cd5
Method: DFT, GGA-PBE
State: optimized geometry

## Properties
The calculation puts the formation energy at -0.26 eV per atom. For the total magnetic moment, the calculation gives 1.293 μB/f.u. The value obtained for the density of states at the Fermi level is 1.24 states/eV/atom.

Lattice parameters (Å, degrees): 5.382 9.317 9.317 119.96 106.78 106.78
Each line ends with the local moment (μB).
Sites, in units of the cell vectors:
1 Cd 0.500 0.500 0.500  0.01
2 Cd 0.000 0.334 0.666  0.01
3 Cd 0.500 0.163 0.837  0.01
4 Cd 0.000 0.666 0.334  0.01
5 Cd 0.500 0.837 0.163  0.01
6 Sm 0.750 0.917 0.583  0.11
7 Sm 0.250 0.417 0.083  0.11
8 Sm 0.750 0.251 0.251  0.08
9 Sm 0.250 0.083 0.417  0.11
10 Sm 0.750 0.583 0.917  0.11
11 Sm 0.250 0.749 0.749  0.08
12 Li 0.000 0.000 0.000  0.00

8.
Material: MgNb2GaBi
Method: DFT, GGA-PBE
State: optimized geometry

## Properties
The calculation puts the formation energy at 1.00 eV per atom. For the total magnetic moment, the calculation gives 1.871 μB/f.u. The value obtained for the density of states at the Fermi level is 0.95 states/eV/atom.

Lattice parameters (Å, degrees): 4.889 5.429 4.889 90.00 90.00 90.00
Each line ends with the local moment (μB).
Sites, in units of the cell vectors:
1 Ga 0.000 0.000 0.000  0.04
2 Nb 0.000 0.000 0.500  0.80
3 Nb 0.500 0.000 0.000  0.62
4 Bi 0.000 0.500 0.000  -0.05
5 Mg 0.500 0.500 0.500  -0.01